# VTc3Ir, relaxed, DFT PBE
# E above lowest polymorph   0.000 eV per atom
# Calculated density   10.68 g/cm³
# Formation enthalpy at 0 K   1.281 eV per atom
data_VTc3Ir
_space_group_name_H-M_alt 'P m -3 m'
_space_group_IT_number 221
_space_group_name_Hall '-P 4 2 3'
_cell_length_a 4.3717
_cell_length_b 4.3717
_cell_length_c 4.3717
_cell_angle_alpha 90.00
_cell_angle_beta 90.00
_cell_angle_gamma 90.00
loop_
_atom_site_label
_atom_site_fract_x
_atom_site_fract_y
_atom_site_fract_z
_atom_site_occupancy
V1 0.0000 0.0000 0.0000 1
Tc1 0.0000 0.0000 0.5000 1
Ir1 0.5000 0.5000 0.5000 1